1.
## Y2InSb2 (GGA-PBE)

Data for a relaxed structure of Y2InSb2.

Properties
Space-group type: P4/mbm, No. 127
Volume (A^3/atom): 28.441
E above lowest polymorph (eV/atom): 0.050
Energy relative to the elements, uncorrected (eV per atom): -0.685

Structure (POSCAR):
```
Y2InSb2
1.0
-2.888 5.599 -5.500
-7.365 -3.959 -0.163
-1.319 2.328 3.062
Y Sb In
4 4 2
Cartesian
-7.301 -1.401 -2.080
-7.229 2.213 -4.797
-2.952 3.041 -3.583
-3.024 -0.573 -0.867
-5.965 -0.556 0.553
-8.760 1.517 -2.227
-5.607 4.524 -3.155
-2.812 2.451 -0.375
0.000 0.000 0.000
-5.127 0.820 -2.832
```

2.
## YIn3Sb (GGA-PBE)

Data for a relaxed structure of YIn3Sb.

Properties
Space-group type: Pm-3m, No. 221
Volume (A^3/atom): 34.979
E above lowest polymorph (eV/atom): 0.000
Energy relative to the elements, uncorrected (eV per atom): 0.470

Structure (POSCAR):
```
YIn3Sb
1.0
-3.718 -3.779 -1.782
3.991 -2.508 -3.009
1.234 -3.272 4.364
Y Sb In
1 1 3
Cartesian
0.754 -4.779 -0.213
0.000 0.000 0.000
1.996 -1.254 -1.505
0.617 -1.636 2.182
-1.859 -1.889 -0.891
```

3.
## Y2InSb (GGA-PBE)

Data for a relaxed structure of Y2InSb.

Properties
Space-group type: P4/mmm, No. 123
Volume (A^3/atom): 27.000
E above lowest polymorph (eV/atom): 0.138
Energy relative to the elements, uncorrected (eV per atom): -0.669

Structure (POSCAR):
```
Y2InSb
1.0
-0.181 2.537 -3.038
0.507 -3.002 -2.536
-6.814 -0.876 -0.325
In Sb Y
1 1 2
Cartesian
-1.541 -0.451 -2.869
-4.948 -0.889 -3.031
-6.760 -0.869 -0.322
-3.462 -0.445 -0.165
```

4.
## Y2InSb (GGA-PBE)

Data for a relaxed structure of Y2InSb.

Properties
Space-group type: Cmcm, No. 63
Volume (A^3/atom): 29.366
E above lowest polymorph (eV/atom): 0.000
Energy relative to the elements, uncorrected (eV per atom): -0.807

Structure (POSCAR):
```
Y2InSb
1.0
4.361 0.000 0.000
0.000 4.429 -0.787
0.000 -0.120 12.184
Y In Sb
4 2 2
Cartesian
3.271 2.980 3.916
1.090 1.329 7.481
3.271 4.042 9.898
1.090 0.266 1.499
1.090 1.918 10.798
3.271 2.391 0.599
1.090 0.791 4.452
3.271 3.518 6.945
```

5.
## YIn2Sb (GGA-PBE)

Data for a relaxed structure of YIn2Sb.

Properties
Space-group type: R3m, No. 160
Volume (A^3/atom): 28.069
Energy relative to the elements, uncorrected (eV per atom): -0.191

Structure (POSCAR):
```
YIn2Sb
1.0
-4.366 7.711 -4.650
-4.214 5.297 -7.370
-6.961 5.180 -4.985
In Sb Y
2 1 1
Cartesian
-15.521 18.164 -16.981
-3.869 4.527 -4.233
-7.773 9.096 -8.504
-11.693 13.684 -12.793
```

6.
## Y2InSb (GGA-PBE)

Data for a relaxed structure of Y2InSb.

Properties
Space-group type: Cmmm, No. 65
Volume (A^3/atom): 27.024
E above lowest polymorph (eV/atom): 0.178
Energy relative to the elements, uncorrected (eV per atom): -0.628

Structure (POSCAR):
```
Y2InSb
1.0
-3.604 -0.984 3.878
4.583 -1.681 2.274
0.575 3.490 1.420
In Sb Y
1 1 2
Cartesian
-1.514 1.253 2.649
2.579 0.905 1.847
0.000 0.000 0.000
0.489 -1.332 3.076
```

7.
## YIn4Sb (GGA-PBE)

Data for a relaxed structure of YIn4Sb.

Properties
Space-group type: F-43m, No. 216
Volume (A^3/atom): 26.612
Energy relative to the elements, uncorrected (eV per atom): -0.071

Structure (POSCAR):
```
YIn4Sb
1.0
0.000 4.306 4.306
4.306 0.000 4.306
4.306 4.306 0.000
Y In Sb
1 4 1
Cartesian
0.000 0.000 0.000
3.231 5.381 5.381
5.381 5.381 3.231
5.381 3.231 5.381
3.231 3.231 3.231
6.459 6.459 6.459
```

8.
## Y2InSb (GGA-PBE)

Data for a relaxed structure of Y2InSb.

Properties
Space-group type: Fm-3m, No. 225
Volume (A^3/atom): 27.297
E above lowest polymorph (eV/atom): 0.244
Energy relative to the elements, uncorrected (eV per atom): -0.563

Structure (POSCAR):
```
Y2InSb
1.0
0.000 3.794 3.794
3.794 0.000 3.794
3.794 3.794 0.000
Y Sb In
2 1 1
Cartesian
1.897 1.897 1.897
5.690 5.690 5.690
3.794 3.794 3.794
0.000 0.000 0.000
```

9.
## Y2InSb (GGA-PBE)

Data for a relaxed structure of Y2InSb.

Properties
Space-group type: Amm2, No. 38
Volume (A^3/atom): 27.761
E above lowest polymorph (eV/atom): 0.062
Energy relative to the elements, uncorrected (eV per atom): -0.744

Structure (POSCAR):
```
Y2InSb
1.0
-3.203 -2.084 2.028
-0.314 -2.848 -3.425
3.685 -4.878 0.807
In Sb Y
1 1 2
Cartesian
1.359 -4.158 -2.127
1.223 -6.516 -0.152
2.999 -7.197 -2.661
-0.358 -3.529 0.421
```

10.
## YInSb3 (GGA-PBE)

Data for a relaxed structure of YInSb3.

Properties
Space-group type: Pm-3m, No. 221
Volume (A^3/atom): 33.847
E above lowest polymorph (eV/atom): 0.201
Energy relative to the elements, uncorrected (eV per atom): 0.420

Structure (POSCAR):
```
YInSb3
1.0
5.531 0.000 0.000
0.000 5.531 0.000
0.000 0.000 5.531
Y Sb In
1 3 1
Cartesian
2.766 2.766 2.766
0.000 2.766 0.000
0.000 0.000 2.766
2.766 0.000 0.000
0.000 0.000 0.000
```

11.
## YIn2Sb (GGA-PBE)

Data for a relaxed structure of YIn2Sb.

Properties
Space-group type: P4/mmm, No. 123
Volume (A^3/atom): 26.107
Energy relative to the elements, uncorrected (eV per atom): -0.441

Structure (POSCAR):
```
YIn2Sb
1.0
4.547 0.000 0.000
0.000 4.554 0.000
0.000 0.000 5.043
In Sb Y
2 1 1
Cartesian
0.000 0.000 0.000
2.273 2.277 0.000
2.273 0.000 2.522
0.000 2.277 2.522
```

12.
## YIn2Sb (GGA-PBE)

Data for a relaxed structure of YIn2Sb.

Properties
Space-group type: I-42d, No. 122
Volume (A^3/atom): 28.645
Energy relative to the elements, uncorrected (eV per atom): -0.259

Structure (POSCAR):
```
YIn2Sb
1.0
8.560 0.000 0.000
0.000 8.560 0.000
4.280 4.280 3.127
Y Sb In
2 2 4
Cartesian
4.280 4.280 0.000
4.280 8.560 1.564
0.000 0.000 0.000
8.560 4.280 1.564
6.580 2.140 0.782
1.980 6.420 0.782
6.420 6.260 2.345
10.700 10.860 2.345
```

13.
## YIn2Sb (GGA-PBE)

Data for a relaxed structure of YIn2Sb.

Properties
Space-group type: I-4m2, No. 119
Volume (A^3/atom): 25.925
Energy relative to the elements, uncorrected (eV per atom): -0.449

Structure (POSCAR):
```
YIn2Sb
1.0
5.912 0.015 -0.012
4.128 4.232 -0.012
1.780 0.753 4.150
In Sb Y
2 1 1
Cartesian
1.781 0.753 4.150
2.954 1.250 1.032
5.910 2.500 2.064
8.866 3.750 3.094
```

14.
## Y3InSb (GGA-PBE)

Data for a relaxed structure of Y3InSb.

Properties
Space-group type: Pm-3m, No. 221
Volume (A^3/atom): 35.781
E above lowest polymorph (eV/atom): 0.400
Energy relative to the elements, uncorrected (eV per atom): -0.142

Structure (POSCAR):
```
Y3InSb
1.0
5.635 0.000 0.000
0.000 5.635 0.000
0.000 0.000 5.635
Y Sb In
3 1 1
Cartesian
0.000 2.817 0.000
0.000 0.000 2.817
2.817 0.000 0.000
0.000 0.000 0.000
2.817 2.817 2.817
```

15.
## YIn2Sb (GGA-PBE)

Data for a relaxed structure of YIn2Sb.

Properties
Space-group type: P2/m, No. 10
Volume (A^3/atom): 26.763
Energy relative to the elements, uncorrected (eV per atom): -0.284

Structure (POSCAR):
```
YIn2Sb
1.0
-2.943 4.005 2.854
0.950 -1.364 2.894
4.627 3.146 0.357
In Sb Y
2 1 1
Cartesian
0.078 -0.101 0.222
2.711 0.992 1.404
-0.077 2.448 2.240
2.711 3.338 3.866
```

16.
## Y5In2Sb (GGA-PBE)

Data for a relaxed structure of Y5In2Sb.

Properties
Space-group type: I4/mcm, No. 140
Volume (A^3/atom): 28.632
Energy relative to the elements, uncorrected (eV per atom): -0.566

Structure (POSCAR):
```
Y5In2Sb
1.0
-3.210 -5.042 -5.571
5.235 -5.846 2.274
-5.540 3.196 6.291
Y In Sb
10 4 2
Cartesian
-1.881 -4.362 3.127
0.917 -8.920 -0.351
0.000 0.000 0.000
1.013 -5.444 -1.648
-4.431 1.228 3.346
-5.083 -2.357 0.975
-1.229 -0.776 5.498
1.568 -5.334 2.020
-2.285 -6.915 -2.503
-1.634 -3.329 -0.132
1.469 -2.814 0.070
-1.329 -4.001 -3.234
3.355 -6.886 -0.063
0.556 -8.074 -3.366
-1.251 -6.568 0.673
-2.264 -1.124 2.321
```

17.
## Y2InSb (GGA-PBE)

Data for a relaxed structure of Y2InSb.

Properties
Space-group type: C2/m, No. 12
Volume (A^3/atom): 30.246
E above lowest polymorph (eV/atom): 0.115
Energy relative to the elements, uncorrected (eV per atom): -0.692

Structure (POSCAR):
```
Y2InSb
1.0
-1.235 0.680 3.919
-0.010 -3.120 2.759
7.167 1.003 4.281
In Sb Y
1 1 2
Cartesian
4.442 -1.078 8.219
1.481 -0.359 2.740
-1.091 -2.403 6.717
2.807 -0.756 5.441
```

18.
## YIn2Sb (GGA-PBE)

Data for a relaxed structure of YIn2Sb.

Properties
Space-group type: P4mm, No. 99
Volume (A^3/atom): 27.289
Energy relative to the elements, uncorrected (eV per atom): -0.415

Structure (POSCAR):
```
YIn2Sb
1.0
4.134 0.000 0.000
0.000 4.134 0.000
0.000 0.000 6.388
In Sb Y
2 1 1
Cartesian
0.000 0.000 0.076
2.067 2.067 1.485
0.000 0.000 3.386
2.067 2.067 4.635
```

19.
## Y2InSb (GGA-PBE)

Data for a relaxed structure of Y2InSb.

Properties
Space-group type: F-43m, No. 216
Volume (A^3/atom): 27.801
E above lowest polymorph (eV/atom): 0.685
Energy relative to the elements, uncorrected (eV per atom): -0.121

Structure (POSCAR):
```
Y2InSb
1.0
5.398 0.000 0.000
2.699 4.675 0.000
2.699 1.558 4.407
In Sb Y
1 1 2
Cartesian
5.398 3.116 2.204
8.097 4.675 3.305
0.000 0.000 0.000
2.699 1.558 1.102
```

20.
## YIn2Sb (GGA-PBE)

Data for a relaxed structure of YIn2Sb.

Properties
Space-group type: P4/mmm, No. 123
Volume (A^3/atom): 26.580
Energy relative to the elements, uncorrected (eV per atom): -0.259

Structure (POSCAR):
```
YIn2Sb
1.0
3.999 0.000 0.000
0.000 3.999 0.000
0.000 0.000 6.649
In Sb Y
2 1 1
Cartesian
0.000 0.000 0.091
0.000 0.000 3.233
1.999 1.999 1.662
1.999 1.999 4.987
```

21.
## YIn2Sb (GGA-PBE)

Data for a relaxed structure of YIn2Sb.

Properties
Space-group type: I4/mmm, No. 139
Volume (A^3/atom): 26.565
Energy relative to the elements, uncorrected (eV per atom): -0.451

Structure (POSCAR):
```
YIn2Sb
1.0
-0.149 -5.975 2.202
-0.736 -5.006 -3.870
3.507 5.293 0.506
In Sb Y
2 1 1
Cartesian
0.000 0.000 0.000
-0.443 -5.490 -0.834
1.164 -2.601 -2.099
1.457 -3.086 0.937
```

22.
## YInSb3 (GGA-PBE)

Data for a relaxed structure of YInSb3.

Properties
Space-group type: Pm-3m, No. 221
Volume (A^3/atom): 39.082
E above lowest polymorph (eV/atom): 0.000
Energy relative to the elements, uncorrected (eV per atom): 0.219

Structure (POSCAR):
```
YInSb3
1.0
-1.988 -4.908 -2.373
4.609 -0.165 -3.522
2.911 -3.091 3.955
Y Sb In
1 3 1
Cartesian
0.000 0.000 0.000
2.305 -0.082 -1.761
1.456 -1.546 1.978
-0.994 -2.454 -1.186
2.766 -4.082 -0.970
```

23.
## YIn2Sb (GGA-PBE)

Data for a relaxed structure of YIn2Sb.

Properties
Space-group type: P4mm, No. 99
Volume (A^3/atom): 27.811
Energy relative to the elements, uncorrected (eV per atom): -0.249

Structure (POSCAR):
```
YIn2Sb
1.0
3.354 0.036 0.000
-0.036 3.354 0.000
0.000 0.000 9.886
In Sb Y
2 1 1
Cartesian
0.000 0.000 9.766
1.659 1.695 2.340
0.000 0.000 5.177
1.659 1.695 7.431
```

24.
## Y2InSb (GGA-PBE)

Data for a relaxed structure of Y2InSb.

Properties
Space-group type: I-42d, No. 122
Volume (A^3/atom): 29.629
E above lowest polymorph (eV/atom): 0.341
Energy relative to the elements, uncorrected (eV per atom): -0.466

Structure (POSCAR):
```
Y2InSb
1.0
8.277 0.000 0.000
0.000 8.277 0.000
4.138 4.138 3.460
Y Sb In
4 2 2
Cartesian
6.267 2.069 0.865
2.009 6.207 0.865
6.207 6.147 2.595
10.346 10.406 2.595
0.000 0.000 0.000
8.277 4.138 1.730
4.138 4.138 0.000
4.138 8.277 1.730
```

25.
## Y2InSb (GGA-PBE)

Data for a relaxed structure of Y2InSb.

Properties
Space-group type: I-4m2, No. 119
Volume (A^3/atom): 27.141
E above lowest polymorph (eV/atom): 0.123
Energy relative to the elements, uncorrected (eV per atom): -0.683

Structure (POSCAR):
```
Y2InSb
1.0
-2.730 5.341 1.961
-5.805 -0.135 2.474
5.500 -3.026 0.651
In Sb Y
1 1 2
Cartesian
-4.267 2.603 2.218
-0.749 2.459 2.415
0.000 0.000 0.000
-2.286 -0.279 2.671
```

26.
## YIn2Sb (GGA-PBE)

Data for a relaxed structure of YIn2Sb.

Properties
Space-group type: R-3m, No. 166
Volume (A^3/atom): 27.589
Energy relative to the elements, uncorrected (eV per atom): -0.092

Structure (POSCAR):
```
YIn2Sb
1.0
-4.452 1.102 -9.126
-7.330 0.539 -7.092
-5.954 3.820 -7.368
In Sb Y
2 1 1
Cartesian
-17.684 5.444 -23.518
-8.919 2.746 -11.861
-4.434 1.365 -5.897
-13.302 4.095 -17.690
```

27.
## Y4InSb (GGA-PBE)

Data for a relaxed structure of Y4InSb.

Properties
Space-group type: F-43m, No. 216
Volume (A^3/atom): 29.696
Energy relative to the elements, uncorrected (eV per atom): 0.077

Structure (POSCAR):
```
Y4InSb
1.0
0.000 4.466 4.466
4.466 0.000 4.466
4.466 4.466 0.000
Y In Sb
4 1 1
Cartesian
3.352 5.580 5.580
5.580 5.580 3.352
5.580 3.352 5.580
3.352 3.352 3.352
6.699 6.699 6.699
0.000 0.000 0.000
```

28.
## YIn2Sb (GGA-PBE)

Data for a relaxed structure of YIn2Sb.

Properties
Space-group type: Pm, No. 6
Volume (A^3/atom): 26.639
Energy relative to the elements, uncorrected (eV per atom): -0.334

Structure (POSCAR):
```
YIn2Sb
1.0
5.204 0.000 0.000
0.000 3.288 -0.016
0.000 -0.012 6.227
In Sb Y
2 1 1
Cartesian
0.000 0.612 0.012
2.602 1.173 1.460
0.000 0.727 3.260
2.602 2.402 4.585
```